(1)
First-principles (SCAN) data for a PBEsol-optimized structure of Si4Sb5, as listed in the Alexandria database.

Calculated values
Uncorrected energy   -24.556 eV/atom
Uncorrected formation energy   0.596 eV/atom
Crystal system   tetragonal

a b c (Å): 3.5255 7.6397 7.6397
angles (deg): 86.95 76.66 76.66
Positions (direct):
Sb 0.0000 0.0000 0.0000
Sb 0.6670 0.0000 0.6659
Sb 0.3330 0.0000 0.3341
Sb 0.6670 0.6659 0.0000
Sb 0.3330 0.3341 0.0000
Si 0.0000 0.6319 0.3681
Si 0.0000 0.3681 0.6319
Si 0.6319 0.3681 0.3681
Si 0.3681 0.6319 0.6319



(2)
First-principles (SCAN) data for a PBEsol-optimized structure of Si2Sb, as listed in the Alexandria database.

Calculated values
Uncorrected energy   -18.519 eV/atom
Uncorrected formation energy   0.578 eV/atom
Distance to the lowest polymorph of the same formula   238 meV per atom
Crystal system   tetragonal

a b c (Å): 3.8820 3.8820 8.2444
angles (deg): 103.62 103.62 90.00
Positions (direct):
Sb 0.2500 0.7500 0.5000
Sb 0.0000 0.0000 0.0000
Si 0.8284 0.3284 0.6568
Si 0.4216 0.4216 0.8432
Si 0.6716 0.1716 0.3432
Si 0.5784 0.5784 0.1568



(3)
First-principles (SCAN) data for a PBEsol-optimized structure of Si2Sb, as listed in the Alexandria database.

Calculated values
Uncorrected energy   -18.301 eV/atom
Uncorrected formation energy   0.797 eV/atom
Distance to the lowest polymorph of the same formula   456 meV per atom
Crystal system   hexagonal

a b c (Å): 4.8703 4.8703 5.5732
angles (deg): 90.00 90.00 120.00
Positions (direct):
Sb 0.6667 0.3333 0.7500
Sb 0.3333 0.6667 0.2500
Si 0.0000 0.0000 0.0000
Si 0.0000 0.0000 0.5000
Si 0.6667 0.3333 0.2500
Si 0.3333 0.6667 0.7500



(4)
First-principles (SCAN) data for a PBEsol-optimized structure of Si2Sb, as listed in the Alexandria database.

Calculated values
Uncorrected energy   -18.636 eV/atom
Uncorrected formation energy   0.461 eV/atom
Distance to the lowest polymorph of the same formula   121 meV per atom
Crystal system   tetragonal

a b c (Å): 3.2954 3.2954 6.4765
angles (deg): 104.74 104.74 90.00
Positions (direct):
Sb 0.5000 0.5000 0.0000
Si 0.2762 0.2762 0.5524
Si 0.7238 0.7238 0.4476



(5)
First-principles (SCAN) data for a PBEsol-optimized structure of Si2Sb, as listed in the Alexandria database.

Calculated values
Uncorrected energy   -18.714 eV/atom
Uncorrected formation energy   0.383 eV/atom
Distance to the lowest polymorph of the same formula   42 meV per atom
Crystal system   trigonal

a b c (Å): 3.7900 3.7900 4.7582
angles (deg): 90.00 90.00 120.00
Positions (direct):
Sb 0.0000 0.0000 0.0000
Si 0.6667 0.3333 0.3832
Si 0.3333 0.6667 0.6168



(6)
First-principles (SCAN) data for a PBEsol-optimized structure of Si2Sb, as listed in the Alexandria database.

Calculated values
Uncorrected energy   -18.509 eV/atom
Uncorrected formation energy   0.589 eV/atom
Distance to the lowest polymorph of the same formula   248 meV per atom
Crystal system   hexagonal

a b c (Å): 3.7439 4.2123 4.2123
angles (deg): 120.00 90.00 90.00
Positions (direct):
Sb 0.0000 0.0000 0.0000
Si 0.5000 0.6667 0.3333
Si 0.5000 0.3333 0.6667